Density functional theory data (PBE) for NpFeNiGe2 after structural relaxation.

```
NpFeNiGe2
1.0
-1.981 1.981 5.123
1.981 -1.981 5.123
1.981 1.981 -5.123
Np Fe Ni Ge
1 1 1 2
direct
0.000 0.000 0.000
0.750 0.250 0.500
0.250 0.750 0.500
0.374 0.374 0.000
0.626 0.626 0.000
```

Calculated values
DFT total energy: -7.524 eV/atom
Theoretical density: 10259 kg/m3
DFT formation energy: -240.5 meV per atom
Size of the total moment: 0.836 μB/atom